Entry 1:
# TbPr2Nd2Ho

A geometry-optimized TbPr2Nd2Ho structure (GGA-PBE, the Alexandria database).

Results
- V: 34.08 Å³ per atom
- Energy of formation: 0.06 eV per atom
- Magnetic moment: 0.0 μB/f.u.
- VASP energy: -4.660 eV/atom

Unit cell a=7.1229 b=5.7593 c=9.9690 alpha=90.00 beta=90.00 gamma=90.00
Fractional coordinates of all 12 atoms:
Tb: 0.2500 0.0000 0.1593
Tb: 0.7500 0.0000 0.8407
Pr: 0.0000 0.0000 0.5000
Pr: 0.2500 0.5000 0.6766
Pr: 0.5000 0.0000 0.5000
Pr: 0.7500 0.5000 0.3234
Nd: 0.2500 0.0000 0.8323
Nd: 0.2500 0.5000 0.3359
Nd: 0.7500 0.0000 0.1677
Nd: 0.7500 0.5000 0.6641
Ho: 0.0000 0.5000 0.0000
Ho: 0.5000 0.5000 0.0000

Entry 2:
# Tb6Pr3NdHo2

A geometry-optimized Tb6Pr3NdHo2 structure (GGA-PBE, the Alexandria database).

Results
- V: 33.05 Å³ per atom
- Energy of formation: 0.02 eV per atom
- Magnetic moment: 0.0 μB/f.u.
- VASP energy: -4.654 eV/atom

Unit cell a=6.2451 b=6.2451 c=11.9217 alpha=95.00 beta=95.00 gamma=119.98
Fractional coordinates of all 12 atoms:
Tb: 0.0834 0.4175 0.7535
Tb: 0.2483 0.2483 0.2466
Tb: 0.4175 0.0834 0.7535
Tb: 0.5825 0.9166 0.2465
Tb: 0.7517 0.7517 0.7534
Tb: 0.9166 0.5825 0.2465
Pr: 0.0000 0.0000 0.5000
Pr: 0.3331 0.6669 0.5000
Pr: 0.6669 0.3331 0.5000
Nd: 0.5000 0.5000 0.0000
Ho: 0.1668 0.8332 0.0000
Ho: 0.8332 0.1668 0.0000